[1]
Below is crystalline RbZnHgI2 at its relaxed geometry, with properties calculated at the GGA-PBE level.

Cell lengths 6.118, 6.118, 5.234 Å; angles 90.00, 90.00, 90.00 degrees
Fractional positions:
1 I 0.500 0.000 0.000
2 Hg 0.000 0.000 0.500
3 Rb 0.500 0.500 0.500
4 I 0.000 0.500 0.000
5 Zn 0.000 0.000 0.000

Output
Density, g/cm3: 5.1
E_tot, eV/cell: -8.82
DOS at the Fermi energy, states/eV/atom: 0.35



[2]
Below is crystalline Rb2ZrHgI6 at its relaxed geometry, with properties calculated at the GGA-PBE level.

Cell lengths 9.004, 9.004, 9.004 Å; angles 60.00, 60.00, 90.00 degrees
Fractional positions:
1 I 0.273 0.727 0.000
2 Hg 0.000 0.000 0.000
3 Rb 0.750 0.250 0.500
4 I 0.727 0.273 0.000
5 Zr 0.500 0.500 0.000
6 I 0.274 0.274 0.453
7 I 0.273 0.273 0.000
8 I 0.727 0.727 0.000
9 Rb 0.250 0.750 0.500
10 I 0.726 0.726 0.547

Output
Density, g/cm3: 3.9
E_tot, eV/cell: -30.05
DOS at the Fermi energy, states/eV/atom: 0.00